<P>
Sc2HgPd3 | GGA-PBE | optimized geometry

Space-group type   P-3m1
Size of the total moment   0.00 μB per formula unit
ρ   9.39 g cm⁻³
Calculated volume   215.6 Å³/cell

a = 4.6630 Å, b = 4.6630 Å, c = 11.4519 Å
α = 90.00°, β = 90.00°, γ = 120.00°
Last column: nearest neighbours and their distance in Å.
Atoms (fractional coordinates):
Sc (0.0000, 0.0000, 0.0000)  8 Pd 2.75-2.82
Sc (0.0000, 0.0000, 0.5000)  8 Pd 2.83-2.98
Sc (0.3333, 0.6667, 0.1776)  8 Pd 2.78-2.95
Sc (0.6667, 0.3333, 0.8224)  8 Pd 2.78-2.95
Hg (0.3333, 0.6667, 0.6712)  8 Pd 2.84-2.94
Hg (0.6667, 0.3333, 0.3288)  8 Pd 2.84-2.94
Pd (0.0000, 0.0000, 0.2398)  5 Sc 2.75-2.98, 3 Hg 2.88
Pd (0.0000, 0.0000, 0.7602)  5 Sc 2.75-2.98, 3 Hg 2.88
Pd (0.3333, 0.6667, 0.4236)  4 Sc 2.82-2.83, 4 Hg 2.84-2.90
Pd (0.3333, 0.6667, 0.9281)  7 Sc 2.82-2.95, 1 Hg 2.94
Pd (0.6667, 0.3333, 0.0719)  7 Sc 2.82-2.95, 1 Hg 2.94
Pd (0.6667, 0.3333, 0.5764)  4 Sc 2.82-2.83, 4 Hg 2.84-2.90


<Q>
Sc2HgPd3 | GGA-PBE | optimized geometry

Space-group type   C2/m
Size of the total moment   0.00 μB per formula unit
ρ   9.30 g cm⁻³
Calculated volume   217.8 Å³/cell

a = 8.0308 Å, b = 8.0308 Å, c = 8.6278 Å
α = 122.01°, β = 122.01°, γ = 27.86°
Last column: nearest neighbours and their distance in Å.
Atoms (fractional coordinates):
Sc (0.0891, 0.0891, 0.2538)  6 Pd 2.72-2.83
Sc (0.2748, 0.2748, 0.1780)  5 Pd 2.65-2.75
Sc (0.7252, 0.7252, 0.8220)  5 Pd 2.65-2.75
Sc (0.9109, 0.9109, 0.7462)  6 Pd 2.72-2.83
Hg (0.4083, 0.4083, 0.0222)  3 Pd 2.90, 7 Sc 3.03-3.09, 1 Hg 3.09
Hg (0.5917, 0.5917, 0.9778)  3 Pd 2.90, 7 Sc 3.03-3.09, 1 Hg 3.09
Pd (0.0825, 0.0825, 0.7183)  3 Sc 2.70-2.81, 4 Pd 2.87-2.90, 2 Hg 2.90
Pd (0.2548, 0.2548, 0.6284)  5 Sc 2.75-2.83, 4 Pd 2.88-3.00, 1 Hg 2.90
Pd (0.4206, 0.4206, 0.5352)  3 Sc 2.65-2.72, 5 Pd 2.85-2.90
Pd (0.5794, 0.5794, 0.4648)  3 Sc 2.65-2.72, 5 Pd 2.85-2.90
Pd (0.7452, 0.7452, 0.3716)  5 Sc 2.75-2.83, 4 Pd 2.88-3.00, 1 Hg 2.90
Pd (0.9175, 0.9175, 0.2817)  3 Sc 2.70-2.81, 4 Pd 2.87-2.90, 2 Hg 2.90


Which is most stable? The ranking, best first, is <P>, <Q>.


<P>
Sc2Hg2Pd | GGA-PBE | optimized geometry

Space-group type   P4/mbm
Size of the total moment   0.00 μB per formula unit
ρ   9.43 g cm⁻³
Calculated volume   210.5 Å³/cell

a = 7.4997 Å, b = 7.4997 Å, c = 3.7425 Å
α = 90.00°, β = 90.00°, γ = 90.00°
Last column: nearest neighbours and their distance in Å.
Atoms (fractional coordinates):
Sc (0.1669, 0.3331, 0.0000)  6 Hg 2.79-2.96
Sc (0.3331, 0.8331, 0.0000)  6 Hg 2.79-2.96
Sc (0.6669, 0.1669, 0.0000)  6 Hg 2.79-2.96
Sc (0.8331, 0.6669, 0.0000)  6 Hg 2.79-2.96
Hg (0.1375, 0.6375, 0.5000)  6 Sc 2.79-2.96, 2 Pd 2.91, 1 Hg 2.92
Hg (0.3625, 0.1375, 0.5000)  6 Sc 2.79-2.96, 2 Pd 2.91, 1 Hg 2.92
Hg (0.6375, 0.8625, 0.5000)  6 Sc 2.79-2.96, 2 Pd 2.91, 1 Hg 2.92
Hg (0.8625, 0.3625, 0.5000)  6 Sc 2.79-2.96, 2 Pd 2.91, 1 Hg 2.92
Pd (0.0000, 0.0000, 0.5000)  4 Hg 2.91
Pd (0.5000, 0.5000, 0.5000)  4 Hg 2.91


<Q>
Sc2Hg2Pd | GGA-PBE | optimized geometry

Space-group type   Cmmm
Size of the total moment   0.00 μB per formula unit
ρ   9.33 g cm⁻³
Calculated volume   106.3 Å³/cell

a = 9.7345 Å, b = 9.7345 Å, c = 3.2840 Å
α = 90.00°, β = 90.00°, γ = 160.02°
Last column: nearest neighbours and their distance in Å.
Atoms (fractional coordinates):
Sc (0.0852, 0.9148, 0.0000)  4 Pd 2.87, 4 Hg 3.05
Sc (0.9148, 0.0852, 0.0000)  4 Pd 2.87, 4 Hg 3.05
Hg (0.3137, 0.6863, 0.5000)  4 Hg 2.97-3.28, 4 Sc 3.05
Hg (0.6863, 0.3137, 0.5000)  4 Hg 2.97-3.28, 4 Sc 3.05
Pd (0.5000, 0.5000, 0.5000)  8 Sc 2.87


<R>
Sc2Hg2Pd | GGA-PBE | optimized geometry

Space-group type   P4/mbm
Size of the total moment   0.00 μB per formula unit
ρ   8.86 g cm⁻³
Calculated volume   224.0 Å³/cell

a = 7.1989 Å, b = 7.1989 Å, c = 4.3219 Å
α = 90.00°, β = 90.00°, γ = 90.00°
Last column: nearest neighbours and their distance in Å.
Atoms (fractional coordinates):
Sc (0.1597, 0.3403, 0.0000)  2 Pd 2.71, 2 Hg 2.91
Sc (0.3403, 0.8403, 0.0000)  2 Pd 2.71, 2 Hg 2.91
Sc (0.6597, 0.1597, 0.0000)  2 Pd 2.71, 2 Hg 2.91
Sc (0.8403, 0.6597, 0.0000)  2 Pd 2.71, 2 Hg 2.91
Hg (0.1484, 0.6484, 0.5000)  6 Sc 2.91-3.10, 1 Hg 3.02
Hg (0.3516, 0.1484, 0.5000)  6 Sc 2.91-3.10, 1 Hg 3.02
Hg (0.6484, 0.8516, 0.5000)  6 Sc 2.91-3.10, 1 Hg 3.02
Hg (0.8516, 0.3516, 0.5000)  6 Sc 2.91-3.10, 1 Hg 3.02
Pd (0.0000, 0.0000, 0.0000)  4 Sc 2.71
Pd (0.5000, 0.5000, 0.0000)  4 Sc 2.71


Which is most stable? The ranking, best first, is <Q>, <P>, <R>.


<P>
SiHgPd3 | GGA-PBE | optimized geometry

Space-group type   Pm-3m
Size of the total moment   0.00 μB per formula unit
ρ   9.74 g cm⁻³
Calculated volume   93.4 Å³/cell

a = 4.5378 Å, b = 4.5378 Å, c = 4.5378 Å
α = 90.00°, β = 90.00°, γ = 90.00°
Last column: nearest neighbours and their distance in Å.
Atoms (fractional coordinates):
Si (0.0000, 0.0000, 0.0000)  6 Pd 2.27
Hg (0.5000, 0.5000, 0.5000)  12 Pd 3.21
Pd (0.0000, 0.0000, 0.5000)  2 Si 2.27
Pd (0.0000, 0.5000, 0.0000)  2 Si 2.27
Pd (0.5000, 0.0000, 0.0000)  2 Si 2.27


<Q>
SiHgPd3 | GGA-PBE | optimized geometry

Space-group type   Pm-3m
Size of the total moment   0.00 μB per formula unit
ρ   7.26 g cm⁻³
Calculated volume   125.4 Å³/cell

a = 5.0051 Å, b = 5.0051 Å, c = 5.0051 Å
α = 90.00°, β = 90.00°, γ = 90.00°
Last column: nearest neighbours and their distance in Å.
Atoms (fractional coordinates):
Si (0.0000, 0.0000, 0.0000)  12 Pd 3.54
Hg (0.5000, 0.5000, 0.5000)  6 Pd 2.50
Pd (0.0000, 0.5000, 0.5000)  2 Hg 2.50
Pd (0.5000, 0.0000, 0.5000)  2 Hg 2.50
Pd (0.5000, 0.5000, 0.0000)  2 Hg 2.50


Which is most stable? The ranking, best first, is <P>, <Q>.


<P>
Si2HgPd2 | GGA-PBE | optimized geometry

Space-group type   I4/mmm
Size of the total moment   0.00 μB per formula unit
ρ   9.27 g cm⁻³
Calculated volume   84.2 Å³/cell

a = 6.8325 Å, b = 6.8325 Å, c = 6.8325 Å
α = 149.04°, β = 149.04°, γ = 44.35°
Last column: nearest neighbours and their distance in Å.
Atoms (fractional coordinates):
Si (0.2500, 0.7500, 0.5000)  4 Pd 2.47, 4 Si 2.58
Si (0.7500, 0.2500, 0.5000)  4 Pd 2.47, 4 Si 2.58
Hg (0.0000, 0.0000, 0.0000)  8 Pd 2.98
Pd (0.3813, 0.3813, 0.0000)  4 Si 2.47
Pd (0.6187, 0.6187, 0.0000)  4 Si 2.47


<Q>
Si2HgPd2 | GGA-PBE | optimized geometry

Space-group type   P4/mbm
Size of the total moment   0.00 μB per formula unit
ρ   9.39 g cm⁻³
Calculated volume   166.1 Å³/cell

a = 7.5887 Å, b = 7.5887 Å, c = 2.8845 Å
α = 90.00°, β = 90.00°, γ = 90.00°
Last column: nearest neighbours and their distance in Å.
Atoms (fractional coordinates):
Si (0.1505, 0.3495, 0.0000)  6 Pd 2.62-2.69, 2 Si 2.88
Si (0.3495, 0.8495, 0.0000)  6 Pd 2.62-2.69, 2 Si 2.88
Si (0.6505, 0.1505, 0.0000)  6 Pd 2.62-2.69, 2 Si 2.88
Si (0.8495, 0.6505, 0.0000)  6 Pd 2.62-2.69, 2 Si 2.88
Hg (0.0000, 0.0000, 0.5000)  2 Hg 2.88, 4 Pd 2.94, 8 Si 3.23
Hg (0.5000, 0.5000, 0.5000)  2 Hg 2.88, 4 Pd 2.94, 8 Si 3.23
Pd (0.1376, 0.6376, 0.5000)  6 Si 2.62-2.69, 2 Pd 2.88
Pd (0.3624, 0.1376, 0.5000)  6 Si 2.62-2.69, 2 Pd 2.88
Pd (0.6376, 0.8624, 0.5000)  6 Si 2.62-2.69, 2 Pd 2.88
Pd (0.8624, 0.3624, 0.5000)  6 Si 2.62-2.69, 2 Pd 2.88


Which is most stable? The ranking, best first, is <P>, <Q>.